1.
Entry from Alexandria: Er12Tl6Ru after structural relaxation (PBE-GGA).

**Total magnetization**: 0.00 μB/f.u.
**Energy of formation**: -0.14 eV per atom
**Calculated volume**: 1681.39 Å³ per cell
**D(E_F)**: 49.4 states/eV/cell

The structure in CIF format:
```
data_Er12Tl6Ru
_cell_length_a 12.0899
_cell_length_b 12.0899
_cell_length_c 13.2829
_cell_angle_alpha 90.00
_cell_angle_beta 90.00
_cell_angle_gamma 120.00
_space_group_name_H-M_alt 'R -3'
_space_group_IT_number 148
_space_group_name_Hall '-R 3'
loop_
_atom_site_label
_atom_site_type_symbol
_atom_site_fract_x
_atom_site_fract_y
_atom_site_fract_z
Er1 Er 0.0326 0.8473 0.3920
Er2 Er 0.0345 0.1876 0.8766
Tl1 Tl 0.0094 0.6142 0.2613
Ru1 Ru 0.0000 0.0000 0.0000
```



2.
Entry from Alexandria: Er6TlRu after structural relaxation (PBE-GGA).

**Total magnetization**: 0.00 μB/f.u.
**Energy of formation**: -0.10 eV per atom
**Calculated volume**: 431.92 Å³ per cell
**D(E_F)**: 17.7 states/eV/cell
**Distance to the lowest polymorph of the same formula**: 0.0 kJ/mol of formula units

The structure in CIF format:
```
data_Er6TlRu
_cell_length_a 5.011
_cell_length_b 5.011
_cell_length_c 17.200
_cell_angle_alpha 90.00
_cell_angle_beta 90.00
_cell_angle_gamma 90.00
_space_group_name_H-M_alt 'I 4/m m m'
_space_group_IT_number 139
_space_group_name_Hall '-I 4 2'
loop_
_atom_site_label
_atom_site_type_symbol
_atom_site_fract_x
_atom_site_fract_y
_atom_site_fract_z
Er1 Er 0.000 0.000 0.250
Er2 Er 0.000 0.500 0.103
Tl1 Tl 0.000 0.000 0.000
Ru1 Ru 0.000 0.000 0.500
```



3.
Entry from Alexandria: Er4TlRu after structural relaxation (PBE-GGA).

**Total magnetization**: 0.00 μB/f.u.
**Energy of formation**: -0.19 eV per atom
**Calculated volume**: 347.87 Å³ per cell
**D(E_F)**: 9.0 states/eV/cell
**Distance to the lowest polymorph of the same formula**: 97.3 kJ/mol of formula units

The structure in CIF format:
```
data_Er4TlRu
_cell_length_a 8.042
_cell_length_b 6.786
_cell_length_c 6.392
_cell_angle_alpha 90.00
_cell_angle_beta 94.16
_cell_angle_gamma 90.00
_space_group_name_H-M_alt 'P 1 21/c 1'
_space_group_IT_number 14
loop_
_space_group_symop_operation_xyz
'x,y,z'
'-x,-y,-z'
'-x,y+1/2,-z+1/2'
'x,-y+1/2,z+1/2'
loop_
_atom_site_label
_atom_site_type_symbol
_atom_site_fract_x
_atom_site_fract_y
_atom_site_fract_z
Er1 Er 0.131 0.140 0.361
Er2 Er 0.290 0.632 0.377
Tl1 Tl 0.500 0.000 0.500
Ru1 Ru 0.000 0.000 0.000
```



4.
Entry from Alexandria: Er4TlRu after structural relaxation (PBE-GGA).

**Total magnetization**: 0.00 μB/f.u.
**Energy of formation**: -0.36 eV per atom
**Calculated volume**: 654.10 Å³ per cell
**D(E_F)**: 21.6 states/eV/cell
**Distance to the lowest polymorph of the same formula**: 0.0 kJ/mol of formula units

The structure in CIF format:
```
data_Er4TlRu
_cell_length_a 8.674
_cell_length_b 12.856
_cell_length_c 6.133
_cell_angle_alpha 90.00
_cell_angle_beta 106.95
_cell_angle_gamma 90.00
_space_group_name_H-M_alt 'C 1 2/c 1'
_space_group_IT_number 15
loop_
_space_group_symop_operation_xyz
'x,y,z'
'-x,-y,-z'
'-x,y,-z+1/2'
'x,-y,z+1/2'
'x+1/2,y+1/2,z'
'-x+1/2,-y+1/2,-z'
'-x+1/2,y+1/2,-z+1/2'
'x+1/2,-y+1/2,z+1/2'
loop_
_atom_site_label
_atom_site_type_symbol
_atom_site_fract_x
_atom_site_fract_y
_atom_site_fract_z
Er1 Er 0.107 0.168 0.047
Er2 Er 0.223 0.423 0.394
Tl1 Tl 0.000 0.375 0.750
Ru1 Ru 0.000 0.000 0.250
```



Number 1: total energy -242.83 eV/cell. Number 2: total energy -79.64 eV/cell. Number 3: total energy -62.04 eV/cell. Number 4: total energy -128.11 eV/cell.